Below is an optimized crystal structure of Li2TcB2O6, with properties calculated at the PBE level.

Results
- M_tot: 3.00 μB/f.u.
- Formation energy (no corrections): -194 kJ/mol of atoms

Lattice parameters (Å, degrees): 4.8657 4.8657 6.0151 90.00 90.00 120.00
Space group P-3 (No. 147)
Symmetry-distinct sites (fractional):
Li1 0.3333 0.6667 0.2848 x2
Tc1 0.0000 0.0000 0.0000 x1
B1 0.3333 0.6667 0.8056 x2
O1 0.0649 0.6966 0.8011 x6